# NiTeCN2 PBE-GGA relaxed
# Total magnetic moment: 0.33 μB per formula unit
# Density of states at the Fermi level: 0.50 states/eV per atom
# Polymorph energy (0 for the lowest one): 0 meV per atom
data_NiTeCN2
_chemical_formula_sum 'Ni1 Te1 C1 N2'
_cell_length_a 3.441
_cell_length_b 3.441
_cell_length_c 7.740
_cell_angle_alpha 90.00
_cell_angle_beta 90.00
_cell_angle_gamma 90.00
_symmetry_space_group_name_H-M 'P 4/m m m'
_symmetry_Int_Tables_number 123
_symmetry_space_group_name_Hall '-P 4 2'
loop_
_atom_site_label
_atom_site_type_symbol
_atom_site_fract_x
_atom_site_fract_y
_atom_site_fract_z
Ni1 Ni 0.000 0.000 0.000
Te1 Te 0.000 0.000 0.500
C1 C 0.500 0.500 0.500
N1 N 0.000 0.500 0.000

# BaLa14Y PBE-GGA relaxed
# Total magnetic moment: 0.00 μB per formula unit
# Density of states at the Fermi level: 1.80 states/eV per atom
# ΔE_f: 6 kJ per mole of atoms
data_BaLa14Y
_chemical_formula_sum 'Ba2 La28 Y2'
_cell_length_a 12.168
_cell_length_b 7.567
_cell_length_c 13.116
_cell_angle_alpha 90.00
_cell_angle_beta 90.00
_cell_angle_gamma 90.00
_symmetry_space_group_name_H-M 'A m m 2'
_symmetry_Int_Tables_number 38
_symmetry_space_group_name_Hall 'A 2 -2'
loop_
_atom_site_label
_atom_site_type_symbol
_atom_site_fract_x
_atom_site_fract_y
_atom_site_fract_z
Ba1 Ba 0.000 0.000 0.000
La1 La 0.000 0.249 0.751
La2 La 0.244 0.000 0.332
La3 La 0.254 0.243 0.586
La4 La 0.255 0.000 0.828
La5 La 0.500 0.000 0.495
La6 La 0.500 0.000 0.998
La7 La 0.500 0.246 0.250
Y1 Y 0.000 0.000 0.500

# ErGa2Si PBE-GGA relaxed
# Total magnetic moment: 0.00 μB per formula unit
# Density of states at the Fermi level: 0.71 states/eV per atom
# Polymorph energy (0 for the lowest one): 200 meV per atom
data_ErGa2Si
_chemical_formula_sum 'Er3 Ga6 Si3'
_cell_length_a 4.3026
_cell_length_b 4.3026
_cell_length_c 14.7488
_cell_angle_alpha 90.00
_cell_angle_beta 90.00
_cell_angle_gamma 120.00
_symmetry_space_group_name_H-M 'R -3 m'
_symmetry_Int_Tables_number 166
_symmetry_space_group_name_Hall '-R 3 2"'
loop_
_atom_site_label
_atom_site_type_symbol
_atom_site_fract_x
_atom_site_fract_y
_atom_site_fract_z
Er1 Er 0.0000 0.0000 0.0000
Ga1 Ga 0.0000 0.0000 0.2191
Si1 Si 0.0000 0.0000 0.5000

The highest density of states at the Fermi level belongs to which entry?
BaLa14Y